First-principles (SCAN) data for a PBEsol-optimized structure of NiSbOs2, as listed in the Alexandria database.

Cell: 2.9035 4.4856 4.8886 Å, 100.61 90.00 108.88°
Closest atoms and distances in Å follow each position.
Fractional coordinates of all 4 atoms:
Os1 0.2430 0.4859 0.2177  3 Ni 2.58-2.61, 2 Os 2.60, 3 Sb 2.70-2.76
Os2 0.7570 0.5141 0.7823  3 Ni 2.58-2.61, 2 Os 2.60, 3 Sb 2.70-2.76
Sb1 0.0000 0.0000 0.5000  6 Os 2.70-2.76, 4 Ni 2.84, 2 Sb 2.90
Ni1 0.5000 0.0000 0.0000  6 Os 2.58-2.61, 4 Sb 2.84

Properties
* VASP energy: -48.878 eV/atom
* density: 15.8 Mg/m³
* formation energy without anion corrections: 162 kJ/mol of formula units
* crystal system: monoclinic
* N(E_F): 2.6 states/eV/f.u.